(1)
PmTh4Tc2: optimized geometry, PBE-GGA. Values from VASP.

Results
* symmetry: P2_1/m, No. 11
* DFT formation energy: -18 kJ/mol of formula units

```
&SYSTEM
  ibrav = 0, nat = 14, ntyp = 3
/
ATOMIC_SPECIES
Pm 145.00 Pm.upf
Th 232.04 Th.upf
Tc 98.00 Tc.upf
ATOMIC_POSITIONS angstrom
Pm -0.320 1.679 1.206
Pm 5.289 5.036 6.137
Th 0.206 3.372 4.393
Th 0.206 6.700 4.393
Th 1.819 5.036 1.708
Th 2.950 1.679 0.182
Th 2.020 5.036 7.161
Th 3.151 1.679 5.635
Th 4.764 0.015 2.950
Th 4.764 3.342 2.950
Tc -2.056 1.679 5.466
Tc 2.237 1.679 2.789
Tc 2.733 5.036 4.554
Tc 7.026 5.036 1.877
CELL_PARAMETERS angstrom
7.898 0.000 0.000
0.000 6.714 0.000
-2.928 0.000 7.343
```

(2)
BaLaAsBr: optimized geometry, PBE-GGA. Values from VASP.

Results
* symmetry: R3m, No. 160
* energy relative to the elements, uncorrected: -1.512 eV/atom

```
&SYSTEM
  ibrav = 0, nat = 4, ntyp = 4
/
ATOMIC_SPECIES
Ba 137.33 Ba.upf
La 138.91 La.upf
As 74.92 As.upf
Br 79.90 Br.upf
ATOMIC_POSITIONS angstrom
Ba 0.000 0.000 0.000
La 0.000 0.000 19.524
As 0.000 0.000 9.973
Br 0.000 0.000 5.530
CELL_PARAMETERS angstrom
2.223 1.283 8.046
-2.223 1.283 8.046
0.000 -2.567 8.046
```

| no. | ρ (g cm⁻³) | M_tot (μB per cell) |
| --- | --- | --- |
| 1 | 10.8 | 0.00 |
| 2 | 5.2 | 0.00 |